A relaxed structure of ScAs2Cl. Source: Alexandria, functional PBEsol.

Unit cell a=3.4396 b=5.0863 c=6.2272 alpha=80.09 beta=73.97 gamma=70.24
Sites, in units of the cell vectors:
1 Cl 0.4297 0.5798 0.5609
2 As 0.0071 0.0741 0.9118
3 As 0.3025 0.2300 0.1650
4 Sc 0.7608 0.6161 0.8624

Calculated density: 3.89 g/cm3
Formation energy (no corrections): -0.8744 eV per atom
Space-group type: Cm

---

A relaxed structure of TaAs2SeCl. Source: Alexandria, functional PBEsol.

Unit cell a=4.8314 b=4.9848 c=4.9848 alpha=90.00 beta=90.00 gamma=90.00
Sites, in units of the cell vectors:
1 As 0.0000 0.5000 0.0000
2 As 0.0000 0.0000 0.5000
3 Ta 0.0000 0.0000 0.0000
4 Se 0.5000 0.0000 0.0000
5 Cl 0.5000 0.5000 0.5000

Calculated density: 6.16 g/cm3
Formation energy (no corrections): 0.1237 eV per atom
Space-group type: P4/mmm

---

A relaxed structure of TcAs2SeCl. Source: Alexandria, functional PBEsol.

Unit cell a=4.7445 b=4.7801 c=4.7801 alpha=90.00 beta=90.00 gamma=90.00
Sites, in units of the cell vectors:
1 Cl 0.5000 0.5000 0.5000
2 Se 0.5000 0.0000 0.0000
3 Tc 0.0000 0.0000 0.0000
4 As 0.0000 0.0000 0.5000
5 As 0.0000 0.5000 0.0000

Calculated density: 5.55 g/cm3
Formation energy (no corrections): 0.3044 eV per atom
Space-group type: P4/mmm

---

A relaxed structure of TlAs2SeCl. Source: Alexandria, functional PBEsol.

Unit cell a=5.2100 b=5.3223 c=5.3223 alpha=90.00 beta=90.00 gamma=90.00
Sites, in units of the cell vectors:
1 Cl 0.5000 0.5000 0.5000
2 As 0.0000 0.5000 0.0000
3 Se 0.5000 0.0000 0.0000
4 Tl 0.0000 0.0000 0.0000
5 As 0.0000 0.0000 0.5000

Calculated density: 5.27 g/cm3
Formation energy (no corrections): 1.0279 eV per atom
Space-group type: P4/mmm